Density functional theory data (PBE-GGA) for a relaxed CsCe2GeS5 crystal.

Calculated values
Volume, Å³/cell: 461.05
Raw formation energy, kJ/mol of formula units: -1216.8
DOS at the Fermi energy, states/eV per cell: 16.6

abc: 9.264 9.264 9.264
angles: 129.53 129.53 74.15
Element x y z (fractional)
1 Cs 0.250 0.250 0.000
2 Cs 0.750 0.750 0.000
3 Ce 0.163 0.663 0.826
4 Ce 0.337 0.163 0.500
5 Ce 0.663 0.837 0.500
6 Ce 0.837 0.337 0.174
7 Ge 0.250 0.750 0.500
8 Ge 0.750 0.250 0.500
9 S 0.000 0.000 0.000
10 S 0.025 0.239 0.500
11 S 0.239 0.739 0.215
12 S 0.261 0.475 0.500
13 S 0.475 0.975 0.215
14 S 0.500 0.500 0.000
15 S 0.525 0.025 0.785
16 S 0.739 0.525 0.500
17 S 0.761 0.261 0.785
18 S 0.975 0.761 0.500

---

Density functional theory data (PBE-GGA) for a relaxed CsLiSi crystal.

Calculated values
Volume, Å³/cell: 194.18
Energy above the lowest structure with this stoichiometry, meV per atom: 111
Raw formation energy, kJ/mol of formula units: 15.8
DOS at the Fermi energy, states/eV per cell: 2.5

abc: 6.908 6.908 9.224
angles: 125.00 125.00 33.43
Element x y z (fractional)
1 Cs 0.000 0.000 0.000
2 Cs 0.143 0.143 0.721
3 Li 0.344 0.344 0.454
4 Li 0.668 0.668 0.382
5 Si 0.425 0.425 0.261
6 Si 0.810 0.810 0.236

---

> Among the records above, which one has the lowest DOS at the Fermi energy?

CsLiSi

---

> The highest raw formation energy belongs to which entry?

CsLiSi